Entry 1:
Ce5InRu4: relaxed, PBE-GGA.

Fermi-level density of states, states/eV/cell: 34.55
Formation energy, meV/atom: -237
V, Å³ per cell: 476.9

Cell lengths 7.7566, 8.8103, 6.9790 Å; angles 90.00, 90.00, 90.00 degrees
With the nearest neighbours (Å) after each atom.
Sites, in units of the cell vectors:
Ce1 0.0060 0.0507 0.2374  2 Ru 2.53-2.58
Ce2 0.0060 0.4493 0.2374  2 Ru 2.53-2.58
Ce3 0.2500 0.7500 0.3865  4 Ru 2.97-3.00
Ce4 0.4940 0.0507 0.2374  2 Ru 2.53-2.58
Ce5 0.4940 0.4493 0.2374  2 Ru 2.53-2.58
Ce6 0.5060 0.5507 0.7626  2 Ru 2.53-2.58
Ce7 0.5060 0.9493 0.7626  2 Ru 2.53-2.58
Ce8 0.7500 0.2500 0.6135  4 Ru 2.97-3.00
Ce9 0.9940 0.5507 0.7626  2 Ru 2.53-2.58
Ce10 0.9940 0.9493 0.7626  2 Ru 2.53-2.58
In1 0.2500 0.2500 0.8443  4 Ru 2.75-2.90
In2 0.7500 0.7500 0.1557  4 Ru 2.75-2.90
Ru1 0.0778 0.7500 0.0058  2 Ce 2.53, 1 Ru 2.67, 1 In 2.75
Ru2 0.2500 0.0817 0.4864  2 Ce 2.58
Ru3 0.2500 0.4183 0.4864  2 Ce 2.58
Ru4 0.4222 0.7500 0.0058  2 Ce 2.53, 1 Ru 2.67, 1 In 2.75
Ru5 0.5778 0.2500 0.9942  2 Ce 2.53, 1 Ru 2.67, 1 In 2.75
Ru6 0.7500 0.5817 0.5136  2 Ce 2.58
Ru7 0.7500 0.9183 0.5136  2 Ce 2.58
Ru8 0.9222 0.2500 0.9942  2 Ce 2.53, 1 Ru 2.67, 1 In 2.75


Entry 2:
CeInRu4: relaxed, PBE-GGA.

Fermi-level density of states, states/eV/cell: 6.20
Formation energy, meV/atom: -45
V, Å³ per cell: 105.7

Cell lengths 5.3064, 5.3064, 5.3064 Å; angles 60.00, 60.00, 60.00 degrees
With the nearest neighbours (Å) after each atom.
Sites, in units of the cell vectors:
Ce1 0.0000 0.0000 0.0000  12 Ru 3.11, 4 In 3.25
In1 0.7500 0.7500 0.7500  12 Ru 3.11, 4 Ce 3.25
Ru1 0.3757 0.3757 0.3757  6 Ru 2.64-2.67
Ru2 0.3757 0.3757 0.8730  6 Ru 2.64-2.67
Ru3 0.3757 0.8730 0.3757  6 Ru 2.64-2.67
Ru4 0.8730 0.3757 0.3757  6 Ru 2.64-2.67


Entry 3:
Ce8In2Ru: relaxed, PBE-GGA.

Fermi-level density of states, states/eV/cell: 33.94
Formation energy, meV/atom: -187
V, Å³ per cell: 297.5

Cell lengths 9.0287, 9.0287, 6.7071 Å; angles 109.28, 109.28, 35.46 degrees
With the nearest neighbours (Å) after each atom.
Sites, in units of the cell vectors:
Ce1 0.0005 0.0005 0.2147  1 Ce 2.87, 2 Ru 3.10
Ce2 0.2063 0.2063 0.1939  1 Ce 2.80
Ce3 0.3537 0.3537 0.1051  2 Ce 2.80-3.11, 1 Ru 2.84
Ce4 0.4037 0.4037 0.5975  1 Ru 2.63
Ce5 0.5963 0.5963 0.4025  1 Ru 2.63
Ce6 0.6463 0.6463 0.8949  2 Ce 2.80-3.11, 1 Ru 2.84
Ce7 0.7937 0.7937 0.8061  1 Ce 2.80
Ce8 0.9995 0.9995 0.7853  1 Ce 2.87, 2 Ru 3.10
In1 0.1816 0.1816 0.6643  11 Ce 3.30-3.50
In2 0.8184 0.8184 0.3357  11 Ce 3.30-3.50
Ru1 0.5000 0.5000 0.0000  4 Ce 2.63-2.84


Entry 4:
Ce5InRu6: relaxed, PBE-GGA.

Fermi-level density of states, states/eV/cell: 10.52
Formation energy, meV/atom: -307
V, Å³ per cell: 248.7

Cell lengths 8.1326, 8.1326, 5.0043 Å; angles 104.69, 104.69, 119.56 degrees
With the nearest neighbours (Å) after each atom.
Sites, in units of the cell vectors:
Ce1 0.0000 0.0000 0.0000  2 Ru 2.47
Ce2 0.1776 0.8224 0.5000  4 Ru 2.65-2.88
Ce3 0.3511 0.6489 0.0000  2 Ru 2.59
Ce4 0.6489 0.3511 0.0000  2 Ru 2.59
Ce5 0.8224 0.1776 0.5000  4 Ru 2.65-2.88
In1 0.5000 0.5000 0.5000  6 Ru 2.71-2.92
Ru1 0.1078 0.4539 0.2291  2 Ce 2.59-2.65
Ru2 0.1929 0.1929 0.5694  1 Ce 2.47, 1 In 2.71
Ru3 0.4539 0.1078 0.2291  2 Ce 2.59-2.65
Ru4 0.5461 0.8922 0.7709  2 Ce 2.59-2.65
Ru5 0.8071 0.8071 0.4306  1 Ce 2.47, 1 In 2.71
Ru6 0.8922 0.5461 0.7709  2 Ce 2.59-2.65


Computed raw total energy, in the same sequence as the records: -0.5283 -0.5640 -0.4295 -0.5620 Ry per atom.